Entry 1:
GGA-PBE K4Sn2Au7, optimized geometry; space group = R-3m; E = -0.2248 Ry/atom; calculated volume = 404 Å³/cell; ρ = 7.291 g/cm³
1.0
3.451 1.992 9.786
-3.451 1.992 9.786
0.000 -3.985 9.786
Au K Sn
7 4 2
direct
0.000 0.000 0.000 Au
0.787 0.787 0.194 Au
0.806 0.213 0.213 Au
0.213 0.806 0.213 Au
0.787 0.194 0.787 Au
0.194 0.787 0.787 Au
0.213 0.213 0.806 Au
0.187 0.187 0.187 K
0.317 0.317 0.317 K
0.683 0.683 0.683 K
0.813 0.813 0.813 K
0.451 0.451 0.451 Sn
0.549 0.549 0.549 Sn



Entry 2:
GGA-PBE KLiPaSe3, optimized geometry; space group = Cmcm; E = -0.3823 Ry/atom; calculated volume = 338 Å³/cell; ρ = 5.050 g/cm³
1.0
4.792 0.812 -5.741
-4.871 3.313 4.678
8.164 1.984 7.095
K Li Pa Se
2 2 2 6
direct
0.244 0.756 0.250 K
0.756 0.244 0.750 K
0.967 0.033 0.250 Li
0.033 0.967 0.750 Li
0.500 0.500 0.000 Pa
0.500 0.500 0.500 Pa
0.874 0.126 0.056 Se
0.563 0.437 0.250 Se
0.874 0.126 0.444 Se
0.126 0.874 0.556 Se
0.437 0.563 0.750 Se
0.126 0.874 0.944 Se



Entry 3:
GGA-PBE ZnCdTeO, optimized geometry; space group = P4/nmm; calculated volume = 160 Å³/cell; ρ = 6.673 g/cm³; energy above the most stable polymorph in this dataset = 1.98 eV per formula unit
1.0
-3.498 -1.190 0.353
-0.173 -0.579 -3.662
3.844 -10.847 1.534
Cd O Te Zn
2 2 2 2
direct
0.750 0.750 0.406 Cd
0.250 0.250 0.594 Cd
0.250 0.250 0.404 O
0.750 0.750 0.596 O
0.250 0.250 0.167 Te
0.750 0.750 0.833 Te
0.750 0.250 0.000 Zn
0.250 0.750 0.000 Zn



Entry 4:
GGA-PBE Hf2Zr, optimized geometry; space group = P6_3/mmc; calculated volume = 551 Å³/cell; ρ = 10.798 g/cm³; E_form = 0.30 eV per atom
1.0
-1.688 5.395 1.485
-0.752 -1.894 -5.478
-16.851 -6.531 4.572
Hf Zr
16 8
direct
0.500 0.000 0.000 Hf
0.000 0.500 0.000 Hf
0.500 0.500 0.000 Hf
0.333 0.667 0.130 Hf
0.158 0.316 0.250 Hf
0.158 0.842 0.250 Hf
0.684 0.842 0.250 Hf
0.333 0.667 0.370 Hf
0.500 0.000 0.500 Hf
0.000 0.500 0.500 Hf
0.500 0.500 0.500 Hf
0.667 0.333 0.630 Hf
0.316 0.158 0.750 Hf
0.842 0.158 0.750 Hf
0.842 0.684 0.750 Hf
0.667 0.333 0.870 Hf
0.000 0.000 0.094 Zr
0.667 0.333 0.156 Zr
0.667 0.333 0.344 Zr
0.000 0.000 0.406 Zr
0.000 0.000 0.594 Zr
0.333 0.667 0.656 Zr
0.333 0.667 0.844 Zr
0.000 0.000 0.906 Zr



Entry 5:
GGA-PBE SnW4AuC2, optimized geometry; space group = P-6m2; E = -0.6932 Ry/atom; calculated volume = 117 Å³/cell; ρ = 15.243 g/cm³
1.0
3.152 0.000 0.000
-1.576 2.730 0.000
0.000 0.000 13.612
Au C Sn W
1 2 1 4
direct
0.000 0.000 0.000 Au
0.333 0.667 0.247 C
0.333 0.667 0.753 C
0.667 0.333 0.500 Sn
0.667 0.333 0.166 W
0.000 0.000 0.329 W
0.000 0.000 0.671 W
0.667 0.333 0.834 W



Entry 6:
GGA-PBE ZnPH8C3NO5, optimized geometry; space group = I4; E = -0.4274 Ry/atom; calculated volume = 814 Å³/cell; ρ = 1.913 g/cm³
1.0
-8.933 8.933 2.552
8.933 -8.933 2.552
8.933 8.933 -2.552
C H N O P Zn
12 32 4 20 4 4
direct
0.065 0.434 0.037 C
0.564 0.222 0.068 C
0.458 0.229 0.102 C
0.356 0.458 0.229 C
0.496 0.564 0.342 C
0.434 0.396 0.369 C
0.027 0.065 0.631 C
0.222 0.154 0.658 C
0.229 0.127 0.771 C
0.127 0.356 0.898 C
0.154 0.496 0.932 C
0.396 0.027 0.963 C
0.440 0.265 0.035 H
0.776 0.425 0.058 H
0.647 0.150 0.121 H
0.256 0.034 0.122 H
0.359 0.935 0.155 H
0.596 0.392 0.170 H
0.405 0.440 0.175 H
0.426 0.596 0.204 H
0.134 0.256 0.222 H
0.659 0.252 0.222 H
0.719 0.776 0.352 H
0.436 0.659 0.406 H
0.205 0.359 0.425 H
0.225 0.778 0.441 H
0.784 0.225 0.447 H
0.525 0.647 0.497 H
0.150 0.029 0.503 H
0.778 0.338 0.553 H
0.338 0.784 0.559 H
0.935 0.780 0.575 H
0.252 0.030 0.594 H
0.425 0.367 0.648 H
0.030 0.436 0.778 H
0.034 0.912 0.778 H
0.392 0.222 0.796 H
0.265 0.229 0.825 H
0.222 0.426 0.830 H
0.780 0.205 0.845 H
0.912 0.134 0.878 H
0.029 0.525 0.879 H
0.367 0.719 0.942 H
0.229 0.405 0.965 H
0.556 0.134 0.146 N
0.410 0.556 0.422 N
0.134 0.988 0.578 N
0.988 0.410 0.854 N
0.825 0.240 0.037 O
0.251 0.590 0.119 O
0.161 0.711 0.252 O
0.822 0.183 0.279 O
0.590 0.472 0.339 O
0.784 0.411 0.346 O
0.183 0.904 0.360 O
0.437 0.784 0.373 O
0.240 0.203 0.416 O
0.909 0.161 0.450 O
0.711 0.458 0.550 O
0.787 0.825 0.584 O
0.411 0.064 0.627 O
0.543 0.822 0.640 O
0.064 0.437 0.654 O
0.132 0.251 0.661 O
0.904 0.543 0.721 O
0.458 0.909 0.748 O
0.472 0.132 0.881 O
0.203 0.787 0.963 O
0.093 0.707 0.350 P
0.743 0.093 0.385 P
0.707 0.357 0.615 P
0.357 0.743 0.650 P
0.153 0.549 0.250 Zn
0.549 0.299 0.396 Zn
0.903 0.153 0.604 Zn
0.299 0.903 0.750 Zn



Entry 7:
GGA-PBE Zn6Co, optimized geometry; space group = Fm-3m; calculated volume = 102 Å³/cell; ρ = 7.372 g/cm³; E_form = -0.03 eV per atom
1.0
0.497 -3.192 4.124
-1.303 1.683 4.787
-4.268 -1.899 2.372
Co Zn
1 6
direct
0.000 0.000 0.000 Co
0.500 0.000 0.000 Zn
0.000 0.500 0.000 Zn
0.500 0.500 0.000 Zn
0.000 0.000 0.500 Zn
0.500 0.000 0.500 Zn
0.000 0.500 0.500 Zn



Entry 8:
GGA-PBE Rb2Er2AsP, optimized geometry; space group = P4mm; E = -0.3095 Ry/atom; calculated volume = 203 Å³/cell; ρ = 5.001 g/cm³
1.0
-2.716 0.814 -4.058
0.279 -4.806 -1.151
-6.910 -1.440 4.337
As Er P Rb
1 2 1 2
direct
0.000 0.000 0.174 As
0.500 0.000 0.994 Er
0.000 0.500 0.994 Er
0.500 0.500 0.841 P
0.500 0.500 0.373 Rb
0.000 0.000 0.625 Rb



Entry 9:
GGA-PBE RbPrAgTe3, optimized geometry; space group = Cmcm; E = -0.2879 Ry/atom; calculated volume = 435 Å³/cell; ρ = 5.476 g/cm³
1.0
4.523 4.713 5.655
-7.316 -3.990 -2.280
3.740 -9.829 5.199
Ag Pr Rb Te
2 2 2 6
direct
0.535 0.465 0.250 Ag
0.465 0.535 0.750 Ag
0.000 0.000 0.000 Pr
0.000 0.000 0.500 Pr
0.250 0.750 0.250 Rb
0.750 0.250 0.750 Rb
0.632 0.368 0.056 Te
0.927 0.073 0.250 Te
0.632 0.368 0.444 Te
0.368 0.632 0.556 Te
0.073 0.927 0.750 Te
0.368 0.632 0.944 Te



Entry 10:
GGA-PBE AcHfAsO, optimized geometry; space group = Pmc2_1; calculated volume = 186 Å³/cell; ρ = 8.855 g/cm³; energy above the most stable polymorph in this dataset = 0.71 eV per formula unit
1.0
-0.930 -2.368 3.138
-1.673 -4.988 -4.259
6.408 -2.293 0.168
Ac As Hf O
2 2 2 2
direct
0.500 0.265 0.031 Ac
0.500 0.735 0.531 Ac
0.000 0.983 0.262 As
0.000 0.017 0.762 As
0.000 0.292 0.493 Hf
0.000 0.708 0.993 Hf
0.500 0.360 0.468 O
0.500 0.640 0.968 O



Entry 11:
GGA-PBE LiNiGe, optimized geometry; space group = F-43m; E = -0.3090 Ry/atom; calculated volume = 44 Å³/cell; ρ = 5.235 g/cm³
1.0
0.000 2.799 2.799
2.799 0.000 2.799
2.799 2.799 0.000
Ge Li Ni
1 1 1
direct
0.250 0.250 0.250 Ge
0.750 0.750 0.750 Li
0.000 0.000 0.000 Ni



Entry 12:
GGA-PBE NaSm, optimized geometry; space group = P-6m2; calculated volume = 66 Å³/cell; ρ = 4.388 g/cm³; energy above the most stable polymorph in this dataset = 0.00 eV per formula unit
1.0
3.494 0.000 0.000
-1.747 3.026 0.000
0.000 0.000 6.203
Na Sm
1 1
direct
0.667 0.333 0.750 Na
0.333 0.667 0.250 Sm